1.
{"formula": "Pr3Sm2Hg", "functional": "PBE-GGA", "state": "relaxed", "lattice_angstrom": [[-1.197, -5.758, 2.186], [-0.407, -4.848, -3.987], [10.875, -3.855, 1.904]], "species": ["Pr", "Pr", "Pr", "Sm", "Sm", "Pr", "Pr", "Pr", "Hg", "Hg", "Sm", "Sm"], "fractional_positions": [[0.578, 0.343, 0.241], [0.263, 0.000, 0.240], [0.737, 0.000, 0.760], [0.836, 0.327, 0.500], [0.000, 0.000, 0.000], [0.079, 0.343, 0.759], [0.921, 0.657, 0.241], [0.422, 0.657, 0.759], [0.667, 0.665, 0.000], [0.333, 0.335, 0.000], [0.500, 0.000, 0.500], [0.164, 0.673, 0.500]], "vol_a3_per_atom": 32.78, "rho_g_cm3": 7.80, "formation_enthalpy_0k_ev_per_atom": -0.06, "dos_at_fermi_per_ev_cell": 13.961, "total_magnetization_mub_per_fu": 0.00, "e_above_lowest_polymorph_mev_per_atom": 80.1}

=====

2.
{"formula": "PrSm5Hg6", "functional": "PBE-GGA", "state": "relaxed", "lattice_angstrom": [[5.250, 0.002, -1.106], [-0.003, 7.657, -0.001], [-0.992, 0.000, 8.441]], "species": ["Hg", "Sm", "Sm", "Hg", "Hg", "Sm", "Hg", "Hg", "Hg", "Sm", "Pr", "Sm"], "fractional_positions": [[0.832, 0.253, 0.662], [0.665, 0.500, 0.331], [0.666, 0.000, 0.333], [0.832, 0.747, 0.662], [0.168, 0.747, 0.338], [0.000, 0.500, 0.000], [0.500, 0.255, 0.000], [0.500, 0.745, 0.000], [0.168, 0.253, 0.338], [0.335, 0.500, 0.669], [0.000, 0.000, 0.000], [0.334, 0.000, 0.667]], "vol_a3_per_atom": 27.58, "rho_g_cm3": 10.52, "formation_enthalpy_0k_ev_per_atom": -0.47, "dos_at_fermi_per_ev_cell": 14.522, "total_magnetization_mub_per_fu": 2.55}

=====

3.
{"formula": "PrSm2Hg", "functional": "PBE-GGA", "state": "relaxed", "lattice_angstrom": [[3.707, 0.000, 0.000], [1.853, 3.210, 0.000], [1.853, 1.070, 10.851]], "species": ["Pr", "Sm", "Hg", "Sm"], "fractional_positions": [[0.500, 0.500, 0.500], [0.742, 0.742, 0.775], [0.000, 0.000, 0.000], [0.258, 0.258, 0.225]], "vol_a3_per_atom": 32.28, "rho_g_cm3": 8.26, "formation_enthalpy_0k_ev_per_atom": -0.16, "dos_at_fermi_per_ev_cell": 3.969, "total_magnetization_mub_per_fu": 0.00, "e_above_lowest_polymorph_mev_per_atom": 71.8}